A geometry-optimized BiAsRh2 structure. Source: Alexandria via LeMat-Bulk, functional PBE-GGA.

Output
M_tot	0.00	μB per formula unit
V	237	Å³ per cell
uncorrected energy	-5.997	eV/atom

a = 3.9611 Å, b = 3.9611 Å, c = 17.4736 Å
α = 90.00°, β = 90.00°, γ = 120.00°
Space group R3m (No. 160, hexagonal axes)
Inequivalent atoms, fractional coordinates:
Bi (0.0000, 0.0000, 0.0000) [3 per cell]
As (0.0000, 0.0000, 0.1745) [3 per cell]
Rh (0.0000, 0.0000, 0.5556) [3 per cell]
Rh (0.0000, 0.0000, 0.7842) [3 per cell]